Below is a relaxed Pu2NpAu crystal, with properties calculated at the PBE level.

POSCAR file:
```
Pu2NpAu
1.0
3.675 0.000 0.000
1.838 3.183 0.000
1.838 1.061 8.316
Pu Np Au
2 1 1
Cartesian
5.513 3.183 2.847
1.838 1.061 5.469
3.675 2.122 4.158
0.000 0.000 0.000
```

Computed properties:
Offset from the most stable computed form: 50.3 kJ per mole of atoms
Formation energy from the elements: 2.33 eV/f.u.
Total DFT energy (no corrections): -10.64 eV/atom
Space-group type: No. 166